(1)
VASP calculation (PBE-GGA) on a geometry-optimized Ac3In4Ir4 structure.

Unit cell a=8.9701 b=8.9701 c=8.9701 alpha=152.94 beta=125.23 gamma=62.14
Sites, in units of the cell vectors:
Ac 0.0000 0.0000 0.0000
Ac 0.3853 0.8853 0.5000
Ac 0.6147 0.1147 0.5000
In 0.0201 0.3258 0.6943
In 0.3685 0.6742 0.6943
In 0.6315 0.3258 0.3057
In 0.9799 0.6742 0.3057
Ir 0.2291 0.2291 0.0000
Ir 0.2826 0.5000 0.7826
Ir 0.7174 0.5000 0.2174
Ir 0.7709 0.7709 0.0000

Calculated values
space-group type = Immm (71)
density of states at the Fermi level = 6.97 states/eV/f.u.


(2)
VASP calculation (PBE-GGA) on a geometry-optimized Ac12In3Ir5 structure.

Unit cell a=16.0320 b=16.0320 c=16.0320 alpha=109.47 beta=109.47 gamma=109.47
Sites, in units of the cell vectors:
Ac 0.0290 0.2061 0.1214
Ac 0.0290 0.3230 0.9076
Ac 0.0847 0.7061 0.6770
Ac 0.0847 0.8786 0.4076
Ac 0.0924 0.6214 0.4153
Ac 0.0924 0.9710 0.6770
Ac 0.1214 0.0290 0.2061
Ac 0.1214 0.5924 0.9153
Ac 0.1771 0.2061 0.5847
Ac 0.1771 0.4710 0.5924
Ac 0.2061 0.1214 0.0290
Ac 0.2061 0.5847 0.1771
Ac 0.2939 0.3230 0.9153
Ac 0.2939 0.4710 0.3786
Ac 0.3230 0.9076 0.0290
Ac 0.3230 0.9153 0.2939
Ac 0.3786 0.2939 0.4710
Ac 0.3786 0.5847 0.9076
Ac 0.4076 0.0847 0.8786
Ac 0.4076 0.8230 0.5290
Ac 0.4153 0.0924 0.6214
Ac 0.4153 0.8230 0.7939
Ac 0.4710 0.3786 0.2939
Ac 0.4710 0.5924 0.1771
Ac 0.5290 0.4076 0.8230
Ac 0.5290 0.6214 0.7061
Ac 0.5847 0.1771 0.2061
Ac 0.5847 0.9076 0.3786
Ac 0.5924 0.1771 0.4710
Ac 0.5924 0.9153 0.1214
Ac 0.6214 0.4153 0.0924
Ac 0.6214 0.7061 0.5290
Ac 0.6770 0.0847 0.7061
Ac 0.6770 0.0924 0.9710
Ac 0.7061 0.5290 0.6214
Ac 0.7061 0.6770 0.0847
Ac 0.7939 0.4153 0.8230
Ac 0.7939 0.8786 0.9710
Ac 0.8230 0.5290 0.4076
Ac 0.8230 0.7939 0.4153
Ac 0.8786 0.4076 0.0847
Ac 0.8786 0.9710 0.7939
Ac 0.9076 0.0290 0.3230
Ac 0.9076 0.3786 0.5847
Ac 0.9153 0.1214 0.5924
Ac 0.9153 0.2939 0.3230
Ac 0.9710 0.6770 0.0924
Ac 0.9710 0.7939 0.8786
In 0.1250 0.2500 0.3750
In 0.1250 0.3750 0.7500
In 0.2500 0.3750 0.1250
In 0.2500 0.8750 0.6250
In 0.3750 0.1250 0.2500
In 0.3750 0.7500 0.1250
In 0.6250 0.2500 0.8750
In 0.6250 0.8750 0.7500
In 0.7500 0.1250 0.3750
In 0.7500 0.6250 0.8750
In 0.8750 0.6250 0.2500
In 0.8750 0.7500 0.6250
Ir 0.0000 0.0000 0.0000
Ir 0.0000 0.0000 0.5000
Ir 0.0000 0.5000 0.0000
Ir 0.0000 0.5000 0.5000
Ir 0.1250 0.7500 0.8750
Ir 0.1250 0.8750 0.2500
Ir 0.2500 0.1250 0.8750
Ir 0.2500 0.6250 0.3750
Ir 0.3750 0.2500 0.6250
Ir 0.3750 0.6250 0.7500
Ir 0.5000 0.0000 0.0000
Ir 0.5000 0.0000 0.5000
Ir 0.5000 0.5000 0.0000
Ir 0.5000 0.5000 0.5000
Ir 0.6250 0.3750 0.2500
Ir 0.6250 0.7500 0.3750
Ir 0.7500 0.3750 0.6250
Ir 0.7500 0.8750 0.1250
Ir 0.8750 0.1250 0.7500
Ir 0.8750 0.2500 0.1250

Calculated values
space-group type = Ia-3d (230)
density of states at the Fermi level = 14.83 states/eV/f.u.


(3)
VASP calculation (PBE-GGA) on a geometry-optimized Ac2InIr structure.

Unit cell a=3.7705 b=3.7705 c=8.5111 alpha=90.00 beta=90.00 gamma=90.00
Sites, in units of the cell vectors:
Ac 0.0000 0.0000 0.2083
Ac 0.0000 0.0000 0.7917
In 0.5000 0.5000 0.5000
Ir 0.5000 0.5000 0.0000

Calculated values
space-group type = P4/mmm (123)
density of states at the Fermi level = 3.19 states/eV/f.u.


no.,E_form (meV/atom)
1,-504
2,-330
3,-448